Record 1
The following is a PBE calculation of Ta2ReH6 after structural relaxation, from Alexandria via LeMat-Bulk.

Cell lengths 4.615, 4.615, 4.616 Å; angles 60.01, 60.01, 60.01 degrees
Atoms (fractional coordinates):
1 Ta 0.250 0.250 0.250
2 Ta 0.750 0.750 0.750
3 Re 0.500 0.500 0.500
4 H 0.226 0.226 0.773
5 H 0.227 0.774 0.226
6 H 0.773 0.226 0.774
7 H 0.774 0.227 0.226
8 H 0.226 0.773 0.774
9 H 0.774 0.774 0.227

Values from the calculation:
The electronic total energy is -6.156 eV/atom.

=====

Record 2
The following is a PBE calculation of Ta2Re2H after structural relaxation, from Alexandria via LeMat-Bulk.

Cell lengths 3.535, 3.535, 7.384 Å; angles 76.15, 76.15, 90.00 degrees
Atoms (fractional coordinates):
1 Re 0.750 0.250 0.500
2 Re 0.250 0.750 0.500
3 H 0.000 0.000 0.000
4 Ta 0.403 0.403 0.193
5 Ta 0.597 0.597 0.807

Values from the calculation:
The value obtained for the excess energy over the best structure of this formula in the dataset is 195 meV/atom. The electronic total energy is -9.327 eV/atom.

=====

Record 3
The following is a PBE calculation of TaRe2H after structural relaxation, from Alexandria via LeMat-Bulk.

Cell lengths 4.314, 4.314, 4.314 Å; angles 60.00, 60.00, 60.00 degrees
Atoms (fractional coordinates):
1 Re 0.250 0.250 0.250
2 Re 0.750 0.750 0.750
3 H 0.000 0.000 0.000
4 Ta 0.500 0.500 0.500

Values from the calculation:
The value obtained for the excess energy over the best structure of this formula in the dataset is 624 meV/atom. The electronic total energy is -9.082 eV/atom.

=====

Record 4
The following is a PBE calculation of Ta2Re2H after structural relaxation, from Alexandria via LeMat-Bulk.

Cell lengths 7.427, 7.427, 3.104 Å; angles 90.00, 90.00, 90.00 degrees
Atoms (fractional coordinates):
1 Re 0.139 0.639 0.500
2 Re 0.639 0.861 0.500
3 Re 0.861 0.361 0.500
4 Re 0.361 0.139 0.500
5 H 0.000 0.000 0.000
6 H 0.500 0.500 0.000
7 Ta 0.345 0.845 0.000
8 Ta 0.845 0.655 0.000
9 Ta 0.655 0.155 0.000
10 Ta 0.155 0.345 0.000

Values from the calculation:
The value obtained for the excess energy over the best structure of this formula in the dataset is 0 meV/atom. The electronic total energy is -9.522 eV/atom.

=====

Record 5
The following is a PBE calculation of Ta3ReH after structural relaxation, from Alexandria via LeMat-Bulk.

Cell lengths 4.873, 4.873, 4.873 Å; angles 90.00, 90.00, 90.00 degrees
Atoms (fractional coordinates):
1 Re 0.000 0.000 0.000
2 H 0.500 0.500 0.500
3 Ta 0.000 0.500 0.000
4 Ta 0.000 0.000 0.500
5 Ta 0.500 0.000 0.000

Values from the calculation:
The value obtained for the excess energy over the best structure of this formula in the dataset is 1845 meV/atom. The electronic total energy is -8.325 eV/atom.

=====

Record 6
The following is a PBE calculation of Ta2ReTcH after structural relaxation, from Alexandria via LeMat-Bulk.

Cell lengths 4.451, 4.451, 3.459 Å; angles 90.00, 90.00, 90.00 degrees
Atoms (fractional coordinates):
1 Re 0.000 0.000 0.500
2 Tc 0.500 0.500 0.500
3 H 0.000 0.000 0.000
4 Ta 0.000 0.500 0.000
5 Ta 0.500 0.000 0.000

Values from the calculation:
The value obtained for the excess energy over the best structure of this formula in the dataset is 52 meV/atom. The electronic total energy is -10.094 eV/atom.

=====

Record 7
The following is a PBE calculation of TaReTc2H after structural relaxation, from Alexandria via LeMat-Bulk.

Cell lengths 3.973, 3.973, 4.062 Å; angles 90.00, 90.00, 90.00 degrees
Atoms (fractional coordinates):
1 Re 0.500 0.500 0.500
2 Tc 0.000 0.500 0.000
3 Tc 0.500 0.000 0.000
4 H 0.000 0.000 0.000
5 Ta 0.000 0.000 0.500

Values from the calculation:
The value obtained for the excess energy over the best structure of this formula in the dataset is 0 meV/atom. The electronic total energy is -9.673 eV/atom.

=====

Record 8
The following is a PBE calculation of Ta2ReTcH after structural relaxation, from Alexandria via LeMat-Bulk.

Cell lengths 4.466, 4.466, 3.421 Å; angles 90.00, 90.00, 90.00 degrees
Atoms (fractional coordinates):
1 Re 0.500 0.500 0.500
2 Tc 0.000 0.000 0.500
3 H 0.000 0.000 0.000
4 Ta 0.000 0.500 0.000
5 Ta 0.500 0.000 0.000

Values from the calculation:
The value obtained for the excess energy over the best structure of this formula in the dataset is 0 meV/atom. The electronic total energy is -10.146 eV/atom.

=====

Record 9
The following is a PBE calculation of TaRe2TcH after structural relaxation, from Alexandria via LeMat-Bulk.

Cell lengths 4.014, 4.014, 4.012 Å; angles 90.00, 90.00, 90.00 degrees
Atoms (fractional coordinates):
1 Re 0.000 0.500 0.000
2 Re 0.500 0.000 0.000
3 Tc 0.000 0.000 0.500
4 H 0.000 0.000 0.000
5 Ta 0.500 0.500 0.500

Values from the calculation:
The value obtained for the excess energy over the best structure of this formula in the dataset is 0 meV/atom. The electronic total energy is -10.047 eV/atom.

=====

Record 10
The following is a PBE calculation of TaRe2TcH after structural relaxation, from Alexandria via LeMat-Bulk.

Cell lengths 3.980, 3.980, 4.080 Å; angles 90.00, 90.00, 90.00 degrees
Atoms (fractional coordinates):
1 Re 0.000 0.500 0.000
2 Re 0.500 0.000 0.000
3 Tc 0.500 0.500 0.500
4 H 0.000 0.000 0.000
5 Ta 0.000 0.000 0.500

Values from the calculation:
The value obtained for the excess energy over the best structure of this formula in the dataset is 21 meV/atom. The electronic total energy is -10.026 eV/atom.

=====

Record 11
The following is a PBE calculation of TaReTc2H after structural relaxation, from Alexandria via LeMat-Bulk.

Cell lengths 4.001, 4.001, 4.011 Å; angles 90.00, 90.00, 90.00 degrees
Atoms (fractional coordinates):
1 Re 0.000 0.000 0.500
2 Tc 0.000 0.500 0.000
3 Tc 0.500 0.000 0.000
4 H 0.000 0.000 0.000
5 Ta 0.500 0.500 0.500

Values from the calculation:
The value obtained for the excess energy over the best structure of this formula in the dataset is 6 meV/atom. The electronic total energy is -9.668 eV/atom.

=====

Record 12
The following is a PBE calculation of Ta2TiReH after structural relaxation, from Alexandria via LeMat-Bulk.

Cell lengths 4.489, 4.489, 3.419 Å; angles 90.00, 90.00, 90.00 degrees
Atoms (fractional coordinates):
1 Re 0.500 0.500 0.500
2 Ti 0.000 0.000 0.500
3 H 0.000 0.000 0.000
4 Ta 0.000 0.500 0.000
5 Ta 0.500 0.000 0.000

Values from the calculation:
The electronic total energy is -9.651 eV/atom.